[1]
# Na2MgHg8 GGA-PBE relaxed
# - space group = Immm
data_Na2MgHg8
_chemical_formula_sum 'Na2 Mg1 Hg8'
_cell_length_a 5.220
_cell_length_b 6.914
_cell_length_c 8.892
_cell_angle_alpha 112.87
_cell_angle_beta 107.07
_cell_angle_gamma 90.00
_symmetry_space_group_name_H-M 'P 1'
_symmetry_Int_Tables_number 1
_symmetry_space_group_name_Hall 'P 1'
loop_
_atom_site_label
_atom_site_fract_x
_atom_site_fract_y
_atom_site_fract_z
_atom_site_occupancy
Hg1 0.366 0.148 0.733 1
Hg2 0.000 0.277 0.000 1
Hg3 0.172 0.172 0.344 1
Hg4 0.634 0.416 0.267 1
Hg5 0.828 0.828 0.656 1
Hg6 0.366 0.584 0.733 1
Hg7 0.000 0.723 0.000 1
Hg8 0.634 0.852 0.267 1
Na1 0.198 0.699 0.397 1
Na2 0.802 0.301 0.603 1
Mg1 0.500 0.000 0.000 1



[2]
# Na2Mg2Hg GGA-PBE relaxed
# - space group = P4/mbm
data_Na2Mg2Hg
_chemical_formula_sum 'Na4 Mg4 Hg2'
_cell_length_a 7.349
_cell_length_b 7.349
_cell_length_c 5.313
_cell_angle_alpha 90.00
_cell_angle_beta 90.00
_cell_angle_gamma 90.00
_symmetry_space_group_name_H-M 'P 1'
_symmetry_Int_Tables_number 1
_symmetry_space_group_name_Hall 'P 1'
loop_
_atom_site_label
_atom_site_fract_x
_atom_site_fract_y
_atom_site_fract_z
_atom_site_occupancy
Mg1 0.145 0.355 0.000 1
Mg2 0.355 0.855 0.000 1
Mg3 0.855 0.645 0.000 1
Mg4 0.645 0.145 0.000 1
Na1 0.170 0.670 0.500 1
Na2 0.830 0.330 0.500 1
Na3 0.670 0.830 0.500 1
Na4 0.330 0.170 0.500 1
Hg1 0.500 0.500 0.000 1
Hg2 0.000 0.000 0.000 1



[3]
# NaMg4Hg5 GGA-PBE relaxed
# - space group = P4/mmm
data_NaMg4Hg5
_chemical_formula_sum 'Na1 Mg4 Hg5'
_cell_length_a 3.510
_cell_length_b 3.510
_cell_length_c 18.045
_cell_angle_alpha 90.00
_cell_angle_beta 90.00
_cell_angle_gamma 90.00
_symmetry_space_group_name_H-M 'P 1'
_symmetry_Int_Tables_number 1
_symmetry_space_group_name_Hall 'P 1'
loop_
_atom_site_label
_atom_site_fract_x
_atom_site_fract_y
_atom_site_fract_z
_atom_site_occupancy
Mg1 0.000 0.000 0.211 1
Mg2 0.000 0.000 0.595 1
Mg3 0.000 0.000 0.789 1
Mg4 0.000 0.000 0.405 1
Hg1 0.500 0.500 0.692 1
Hg2 0.500 0.500 0.308 1
Hg3 0.500 0.500 0.887 1
Hg4 0.500 0.500 0.113 1
Hg5 0.500 0.500 0.500 1
Na1 0.000 0.000 0.000 1



[4]
# NaMg2Hg7 GGA-PBE relaxed
# - space group = Cmmm
data_NaMg2Hg7
_chemical_formula_sum 'Na1 Mg2 Hg7'
_cell_length_a 3.229
_cell_length_b 5.771
_cell_length_c 13.639
_cell_angle_alpha 102.21
_cell_angle_beta 90.00
_cell_angle_gamma 90.00
_symmetry_space_group_name_H-M 'P 1'
_symmetry_Int_Tables_number 1
_symmetry_space_group_name_Hall 'P 1'
loop_
_atom_site_label
_atom_site_fract_x
_atom_site_fract_y
_atom_site_fract_z
_atom_site_occupancy
Mg1 0.500 0.701 0.402 1
Mg2 0.500 0.299 0.598 1
Hg1 0.000 0.206 0.412 1
Hg2 0.000 0.794 0.588 1
Hg3 0.500 0.145 0.795 1
Hg4 0.500 0.855 0.205 1
Hg5 0.500 0.350 0.205 1
Hg6 0.500 0.650 0.795 1
Hg7 0.500 0.500 0.000 1
Na1 0.000 0.000 0.000 1



[5]
# Na2Mg3Hg3 GGA-PBE relaxed
# - space group = P-62m
data_Na2Mg3Hg3
_chemical_formula_sum 'Na2 Mg3 Hg3'
_cell_length_a 3.193
_cell_length_b 8.396
_cell_length_c 8.396
_cell_angle_alpha 120.00
_cell_angle_beta 90.00
_cell_angle_gamma 90.00
_symmetry_space_group_name_H-M 'P 1'
_symmetry_Int_Tables_number 1
_symmetry_space_group_name_Hall 'P 1'
loop_
_atom_site_label
_atom_site_fract_x
_atom_site_fract_y
_atom_site_fract_z
_atom_site_occupancy
Hg1 0.500 0.000 0.345 1
Hg2 0.500 0.655 0.655 1
Hg3 0.500 0.345 0.000 1
Mg1 0.000 0.000 0.761 1
Mg2 0.000 0.761 0.000 1
Mg3 0.000 0.239 0.239 1
Na1 0.000 0.333 0.667 1
Na2 0.000 0.667 0.333 1



[6]
# NaMgHg GGA-PBE relaxed
# - space group = P3m1
data_NaMgHg
_chemical_formula_sum 'Na1 Mg1 Hg1'
_cell_length_a 3.454
_cell_length_b 5.035
_cell_length_c 5.035
_cell_angle_alpha 120.00
_cell_angle_beta 90.00
_cell_angle_gamma 90.00
_symmetry_space_group_name_H-M 'P 1'
_symmetry_Int_Tables_number 1
_symmetry_space_group_name_Hall 'P 1'
loop_
_atom_site_label
_atom_site_fract_x
_atom_site_fract_y
_atom_site_fract_z
_atom_site_occupancy
Na1 0.334 0.333 0.667 1
Mg1 0.831 0.000 0.000 1
Hg1 0.835 0.667 0.333 1



[7]
# NaMgHg GGA-PBE relaxed
# - space group = I4mm
data_NaMgHg
_chemical_formula_sum 'Na1 Mg1 Hg1'
_cell_length_a 3.543
_cell_length_b 3.543
_cell_length_c 6.537
_cell_angle_alpha 105.72
_cell_angle_beta 105.72
_cell_angle_gamma 90.00
_symmetry_space_group_name_H-M 'P 1'
_symmetry_Int_Tables_number 1
_symmetry_space_group_name_Hall 'P 1'
loop_
_atom_site_label
_atom_site_fract_x
_atom_site_fract_y
_atom_site_fract_z
_atom_site_occupancy
Na1 0.010 0.010 0.021 1
Mg1 0.311 0.311 0.621 1
Hg1 0.679 0.679 0.358 1



[8]
# Na3Mg2Hg4 GGA-PBE relaxed
# - space group = C2/m
data_Na3Mg2Hg4
_chemical_formula_sum 'Na3 Mg2 Hg4'
_cell_length_a 5.060
_cell_length_b 6.186
_cell_length_c 9.400
_cell_angle_alpha 122.07
_cell_angle_beta 90.00
_cell_angle_gamma 114.14
_symmetry_space_group_name_H-M 'P 1'
_symmetry_Int_Tables_number 1
_symmetry_space_group_name_Hall 'P 1'
loop_
_atom_site_label
_atom_site_fract_x
_atom_site_fract_y
_atom_site_fract_z
_atom_site_occupancy
Hg1 0.060 0.121 0.387 1
Hg2 0.707 0.415 0.052 1
Hg3 0.293 0.585 0.948 1
Hg4 0.940 0.879 0.613 1
Mg1 0.626 0.253 0.296 1
Mg2 0.374 0.747 0.704 1
Na1 0.659 0.318 0.677 1
Na2 0.000 0.000 0.000 1
Na3 0.341 0.682 0.323 1



[9]
# Na2MgHg3 GGA-PBE relaxed
# - space group = P4/mmm
data_Na2MgHg3
_chemical_formula_sum 'Na2 Mg1 Hg3'
_cell_length_a 3.462
_cell_length_b 3.462
_cell_length_c 12.061
_cell_angle_alpha 90.00
_cell_angle_beta 90.00
_cell_angle_gamma 90.00
_symmetry_space_group_name_H-M 'P 1'
_symmetry_Int_Tables_number 1
_symmetry_space_group_name_Hall 'P 1'
loop_
_atom_site_label
_atom_site_fract_x
_atom_site_fract_y
_atom_site_fract_z
_atom_site_occupancy
Na1 0.500 0.500 0.821 1
Na2 0.500 0.500 0.179 1
Hg1 0.000 0.000 0.000 1
Hg2 0.000 0.000 0.650 1
Hg3 0.000 0.000 0.350 1
Mg1 0.500 0.500 0.500 1



[10]
# NaMgHg2 GGA-PBE relaxed
# - space group = P4/mmm
data_NaMgHg2
_chemical_formula_sum 'Na1 Mg1 Hg2'
_cell_length_a 3.405
_cell_length_b 5.215
_cell_length_c 5.215
_cell_angle_alpha 90.00
_cell_angle_beta 90.00
_cell_angle_gamma 90.00
_symmetry_space_group_name_H-M 'P 1'
_symmetry_Int_Tables_number 1
_symmetry_space_group_name_Hall 'P 1'
loop_
_atom_site_label
_atom_site_fract_x
_atom_site_fract_y
_atom_site_fract_z
_atom_site_occupancy
Na1 0.500 0.000 0.000 1
Hg1 0.000 0.500 0.000 1
Hg2 0.000 0.000 0.500 1
Mg1 0.500 0.500 0.500 1



[11]
# NaMgHg GGA-PBE relaxed
# - space group = I4/mmm
data_NaMgHg
_chemical_formula_sum 'Na2 Mg2 Hg2'
_cell_length_a 4.385
_cell_length_b 4.385
_cell_length_c 8.779
_cell_angle_alpha 104.46
_cell_angle_beta 104.46
_cell_angle_gamma 90.01
_symmetry_space_group_name_H-M 'P 1'
_symmetry_Int_Tables_number 1
_symmetry_space_group_name_Hall 'P 1'
loop_
_atom_site_label
_atom_site_fract_x
_atom_site_fract_y
_atom_site_fract_z
_atom_site_occupancy
Hg1 0.125 0.125 0.251 1
Hg2 0.875 0.875 0.749 1
Mg1 0.500 0.000 0.000 1
Mg2 0.000 0.500 0.000 1
Na1 0.318 0.318 0.636 1
Na2 0.682 0.682 0.364 1



[12]
# Na5Mg2Hg12 GGA-PBE relaxed
# - space group = C2/m
data_Na5Mg2Hg12
_chemical_formula_sum 'Na5 Mg2 Hg12'
_cell_length_a 7.136
_cell_length_b 9.525
_cell_length_c 8.617
_cell_angle_alpha 56.45
_cell_angle_beta 88.86
_cell_angle_gamma 90.00
_symmetry_space_group_name_H-M 'P 1'
_symmetry_Int_Tables_number 1
_symmetry_space_group_name_Hall 'P 1'
loop_
_atom_site_label
_atom_site_fract_x
_atom_site_fract_y
_atom_site_fract_z
_atom_site_occupancy
Na1 0.967 0.311 0.378 1
Na2 0.545 0.735 0.531 1
Na3 0.033 0.689 0.622 1
Na4 0.500 0.000 0.000 1
Na5 0.455 0.265 0.469 1
Hg1 0.743 0.370 0.693 1
Hg2 0.938 0.898 0.204 1
Hg3 0.709 0.516 0.968 1
Hg4 0.678 0.122 0.262 1
Hg5 0.743 0.938 0.693 1
Hg6 0.062 0.102 0.796 1
Hg7 0.257 0.062 0.307 1
Hg8 0.322 0.385 0.738 1
Hg9 0.322 0.878 0.738 1
Hg10 0.257 0.630 0.307 1
Hg11 0.291 0.484 0.032 1
Hg12 0.678 0.615 0.262 1
Mg1 0.000 0.275 0.000 1
Mg2 0.000 0.725 0.000 1



| no. | E_form (eV per atom) | V (Å³/cell) | density (g/cm³) |
| --- | --- | --- | --- |
| 1 | -0.154 | 280.3 | 9.92 |
| 2 | -0.004 | 286.9 | 3.42 |
| 3 | -0.218 | 222.3 | 8.39 |
| 4 | -0.090 | 248.4 | 9.86 |
| 5 | -0.101 | 194.9 | 6.14 |
| 6 | -0.133 | 75.8 | 5.43 |
| 7 | -0.133 | 75.8 | 5.43 |
| 8 | -0.195 | 218.4 | 7.00 |
| 9 | -0.233 | 144.6 | 7.72 |
| 10 | -0.215 | 92.6 | 8.04 |
| 11 | -0.157 | 157.9 | 5.21 |
| 12 | -0.181 | 488.0 | 8.75 |